(1)
DFT (PBE-GGA) results for crystalline NaIn2GaCu at its relaxed geometry.

Lattice parameters (Å, degrees): 5.196 5.196 4.710 90.00 90.00 90.00
Element x y z (fractional)
Cu 0.000 0.000 0.000
In 0.500 0.000 0.000
Na 0.500 0.500 0.500
Ga 0.000 0.000 0.500
In 0.000 0.500 0.000

Calculated values
As for the crystal system: tetragonal.

***

(2)
DFT (PBE-GGA) results for crystalline Nd2InGa4Cu3 at its relaxed geometry.

Lattice parameters (Å, degrees): 4.242 4.242 10.674 90.00 90.00 90.00
Element x y z (fractional)
Ga 0.500 0.000 0.654
Nd 0.000 0.500 0.762
Nd 0.500 0.000 0.238
Cu 0.500 0.000 0.878
Cu 0.000 0.000 0.500
Ga 0.000 0.500 0.346
In 0.500 0.500 0.500
Ga 0.000 0.000 0.000
Cu 0.000 0.500 0.122
Ga 0.500 0.500 0.000

Calculated values
As for the crystal system: tetragonal.

***

(3)
DFT (PBE-GGA) results for crystalline NdInGaCu at its relaxed geometry.

Lattice parameters (Å, degrees): 4.930 4.930 4.930 60.00 60.00 60.00
Element x y z (fractional)
Ga 0.750 0.750 0.750
In 0.500 0.500 0.500
Nd 0.000 0.000 0.000
Cu 0.250 0.250 0.250

Calculated values
As for the crystal system: cubic.

***

| no. | N(E_F) (states/eV/cell) | M_tot (μB/f.u.) | calculated formation energy (eV/atom) |
| --- | --- | --- | --- |
| 1 | 2.2 | 0.00 | 0.066 |
| 2 | 4.3 | 0.00 | -0.444 |
| 3 | 1.8 | 0.00 | -0.306 |